[1]
The following is a DFT calculation (PBE) of a relaxed LaSm4Er5 crystal.

Calculated values
- electronic total energy (eV for the cell shown) = -46.54

Cell: 3.6029 7.1883 14.4586 Å, 89.99 90.01 120.07°
With the nearest neighbours (Å) after each atom.
Atoms (fractional coordinates):
Sm: 0.8332 0.8341 0.2068  4 Er 3.52-3.64, 6 Sm 3.59-3.60, 2 La 3.64
Sm: 0.1668 0.1659 0.7932  4 Er 3.52-3.64, 6 Sm 3.59-3.60, 2 La 3.64
Sm: 0.8322 0.3337 0.2042  5 Er 3.55-3.61, 6 Sm 3.59-3.60, 1 La 3.61
Sm: 0.1678 0.6663 0.7958  5 Er 3.55-3.61, 6 Sm 3.59-3.60, 1 La 3.61
Er: 0.5000 0.5000 0.0000  4 La 3.59, 2 Er 3.60, 6 Sm 3.61-3.64
Er: 0.1668 0.1674 0.4038  9 Er 3.47-3.60, 3 Sm 3.52-3.56
Er: 0.8332 0.8326 0.5962  9 Er 3.47-3.60, 3 Sm 3.52-3.56
Er: 0.8341 0.3340 0.5966  9 Er 3.47-3.60, 3 Sm 3.52-3.55
Er: 0.1659 0.6660 0.4034  9 Er 3.47-3.60, 3 Sm 3.52-3.55
La: 0.5000 0.0000 0.0000  4 Er 3.59, 2 La 3.60, 6 Sm 3.61-3.64

=====

[2]
The following is a DFT calculation (PBE) of a relaxed La12Sm6Er crystal.

Calculated values
- electronic total energy (eV for the cell shown) = -88.12

Cell: 9.3724 9.3724 9.3724 Å, 106.88 106.88 106.88°
With the nearest neighbours (Å) after each atom.
Atoms (fractional coordinates):
La: 0.5139 0.8067 0.4164  3 Sm 3.36-3.58, 6 La 3.36-3.73
La: 0.4861 0.1933 0.5836  3 Sm 3.36-3.58, 6 La 3.36-3.73
La: 0.8838 0.1852 0.7161  3 La 3.36-3.73, 3 Sm 3.40-3.65, 1 Er 3.66
La: 0.8067 0.4164 0.5139  3 Sm 3.36-3.58, 6 La 3.36-3.73
La: 0.1933 0.5836 0.4861  3 Sm 3.36-3.58, 6 La 3.36-3.73
La: 0.5836 0.4861 0.1933  3 Sm 3.36-3.58, 6 La 3.36-3.73
La: 0.2839 0.1162 0.8148  3 La 3.36-3.73, 3 Sm 3.40-3.65, 1 Er 3.66
La: 0.8148 0.2839 0.1162  3 La 3.36-3.73, 3 Sm 3.40-3.65, 1 Er 3.66
La: 0.4164 0.5139 0.8067  3 Sm 3.36-3.58, 6 La 3.36-3.73
La: 0.1852 0.7161 0.8838  3 La 3.36-3.73, 3 Sm 3.40-3.65, 1 Er 3.66
La: 0.7161 0.8838 0.1852  3 La 3.36-3.73, 3 Sm 3.40-3.65, 1 Er 3.66
La: 0.1162 0.8148 0.2839  3 La 3.36-3.73, 3 Sm 3.40-3.65, 1 Er 3.66
Sm: 0.1936 0.4400 0.0889  6 La 3.36-3.65, 1 Er 3.71
Sm: 0.9111 0.8064 0.5600  6 La 3.36-3.65, 1 Er 3.71
Sm: 0.8064 0.5600 0.9111  6 La 3.36-3.65, 1 Er 3.71
Sm: 0.0889 0.1936 0.4400  6 La 3.36-3.65, 1 Er 3.71
Sm: 0.5600 0.9111 0.8064  6 La 3.36-3.65, 1 Er 3.71
Sm: 0.4400 0.0889 0.1936  6 La 3.36-3.65, 1 Er 3.71
Er: 0.0000 0.0000 0.0000  6 La 3.66, 6 Sm 3.71

=====

[3]
The following is a DFT calculation (PBE) of a relaxed LaSmEr2 crystal.

Calculated values
- electronic total energy (eV for the cell shown) = -18.70

Cell: 3.6177 3.6177 11.7974 Å, 81.18 81.18 60.00°
With the nearest neighbours (Å) after each atom.
Atoms (fractional coordinates):
La: 0.6664 0.6664 0.0008  6 Er 3.60, 6 La 3.62
Sm: 0.5005 0.5005 0.4986  6 Er 3.54-3.57, 6 Sm 3.62
Er: 0.2491 0.2491 0.2528  3 Sm 3.54, 3 La 3.60, 6 Er 3.62
Er: 0.0841 0.0841 0.7478  3 Sm 3.57, 3 La 3.60, 6 Er 3.62

=====

[4]
The following is a DFT calculation (PBE) of a relaxed La2Sm12Er5 crystal.

Calculated values
- electronic total energy (eV for the cell shown) = -86.85

Cell: 9.3412 9.4652 8.3810 Å, 90.26 90.00 119.57°
With the nearest neighbours (Å) after each atom.
Atoms (fractional coordinates):
Sm: 0.1714 0.7813 0.3836  4 Er 3.32-3.56, 5 Sm 3.44-3.62
Sm: 0.5512 0.1023 0.2895  2 Er 3.34-3.58, 6 Sm 3.44-3.55, 2 La 3.72
Sm: 0.1653 0.3306 0.8711  2 Er 3.14-3.47, 2 Sm 3.50
Sm: 0.3901 0.2187 0.6164  4 Er 3.32-3.56, 5 Sm 3.44-3.62
Sm: 0.8347 0.6694 0.1289  2 Er 3.14-3.47, 2 Sm 3.50
Sm: 0.9744 0.3733 0.2202  4 Er 3.46-3.64, 5 Sm 3.54-3.71, 1 La 3.58
Sm: 0.4488 0.8977 0.7105  2 Er 3.34-3.58, 6 Sm 3.44-3.55, 2 La 3.72
Sm: 0.8286 0.2187 0.6164  4 Er 3.32-3.56, 5 Sm 3.44-3.62
Sm: 0.3989 0.3733 0.2202  4 Er 3.46-3.64, 5 Sm 3.54-3.71, 1 La 3.58
Sm: 0.6099 0.7813 0.3836  4 Er 3.32-3.56, 5 Sm 3.44-3.62
Sm: 0.6011 0.6267 0.7798  4 Er 3.46-3.64, 5 Sm 3.54-3.71, 1 La 3.58
Sm: 0.0256 0.6267 0.7798  4 Er 3.46-3.64, 5 Sm 3.54-3.71, 1 La 3.58
Er: 0.6467 0.2933 0.9388  8 Sm 3.34-3.64, 2 La 3.65
Er: 0.3533 0.7067 0.0612  8 Sm 3.34-3.64, 2 La 3.65
Er: 0.7501 0.5002 0.4642  5 Sm 3.14-3.46
Er: 0.0000 0.0000 0.5000  4 Sm 3.32
Er: 0.2499 0.4998 0.5358  5 Sm 3.14-3.46
La: 0.2119 0.0000 0.0000  8 Sm 3.54-3.75, 2 Er 3.65, 1 La 3.96
La: 0.7881 0.0000 0.0000  8 Sm 3.54-3.75, 2 Er 3.65, 1 La 3.96

=====

[5]
The following is a DFT calculation (PBE) of a relaxed La3SmEr3 crystal.

Calculated values
- electronic total energy (eV for the cell shown) = -64.51

Cell: 8.3103 8.3103 8.3103 Å, 69.44 69.44 69.44°
With the nearest neighbours (Å) after each atom.
Atoms (fractional coordinates):
Er: 0.4455 0.0259 0.3109  3 Er 3.41-3.51, 2 Sm 3.44-3.60, 5 La 3.44-3.63
Er: 0.9741 0.6891 0.5545  3 Er 3.41-3.51, 2 Sm 3.44-3.60, 5 La 3.44-3.63
Er: 0.3109 0.4455 0.0259  3 Er 3.41-3.51, 2 Sm 3.44-3.60, 5 La 3.44-3.63
Er: 0.5545 0.9741 0.6891  3 Er 3.41-3.51, 2 Sm 3.44-3.60, 5 La 3.44-3.63
Er: 0.6891 0.5545 0.9741  3 Er 3.41-3.51, 2 Sm 3.44-3.60, 5 La 3.44-3.63
Er: 0.0259 0.3109 0.4455  3 Er 3.41-3.51, 2 Sm 3.44-3.60, 5 La 3.44-3.63
La: 0.2702 0.8343 0.1282  5 Er 3.44-3.63, 1 Sm 3.54, 4 La 3.59-3.65
La: 0.1657 0.8718 0.7298  5 Er 3.44-3.63, 1 Sm 3.54, 4 La 3.59-3.65
La: 0.8343 0.1282 0.2702  5 Er 3.44-3.63, 1 Sm 3.54, 4 La 3.59-3.65
La: 0.8718 0.7298 0.1657  5 Er 3.44-3.63, 1 Sm 3.54, 4 La 3.59-3.65
La: 0.7298 0.1657 0.8718  5 Er 3.44-3.63, 1 Sm 3.54, 4 La 3.59-3.65
La: 0.1282 0.2702 0.8343  5 Er 3.44-3.63, 1 Sm 3.54, 4 La 3.59-3.65
Sm: 0.5914 0.5914 0.5914  1 Sm 3.43, 6 Er 3.44-3.60, 3 La 3.54
Sm: 0.4086 0.4086 0.4086  1 Sm 3.43, 6 Er 3.44-3.60, 3 La 3.54

=====

[6]
The following is a DFT calculation (PBE) of a relaxed La5Sm2Er2 crystal.

Calculated values
- electronic total energy (eV for the cell shown) = -42.98

Cell: 6.3789 3.6752 16.6915 Å, 83.64 86.37 125.24°
With the nearest neighbours (Å) after each atom.
Atoms (fractional coordinates):
Er: 0.1124 0.2240 0.7754  6 La 3.59-3.68, 4 Sm 3.63, 2 Er 3.68
Er: 0.8876 0.7760 0.2246  6 La 3.59-3.68, 4 Sm 3.63, 2 Er 3.68
La: 0.0000 0.0000 0.0000  10 La 3.68-3.69, 2 Er 3.68
La: 0.7784 0.5570 0.4435  1 Er 3.59, 6 La 3.68-3.69, 5 Sm 3.69-3.70
La: 0.2216 0.4430 0.5565  1 Er 3.59, 6 La 3.68-3.69, 5 Sm 3.69-3.70
La: 0.5567 0.1131 0.8866  1 Sm 3.55, 4 Er 3.67-3.68, 7 La 3.68-3.72
La: 0.4433 0.8869 0.1134  1 Sm 3.55, 4 Er 3.67-3.68, 7 La 3.68-3.72
Sm: 0.6653 0.3295 0.6696  6 La 3.55-3.70, 4 Er 3.63, 2 Sm 3.68
Sm: 0.3347 0.6705 0.3304  6 La 3.55-3.70, 4 Er 3.63, 2 Sm 3.68

=====

[7]
The following is a DFT calculation (PBE) of a relaxed La6Sm8Er crystal.

Calculated values
- electronic total energy (eV for the cell shown) = -70.32

Cell: 9.2924 9.2924 8.8864 Å, 58.48 58.48 60.00°
With the nearest neighbours (Å) after each atom.
Atoms (fractional coordinates):
La: 0.5366 0.0950 0.1322  4 Sm 3.43-3.75, 1 Er 3.56, 2 La 3.63
La: 0.0950 0.2361 0.1322  4 Sm 3.43-3.75, 1 Er 3.56, 2 La 3.63
La: 0.9050 0.7639 0.8678  4 Sm 3.43-3.75, 1 Er 3.56, 2 La 3.63
La: 0.2361 0.5366 0.1322  4 Sm 3.43-3.75, 1 Er 3.56, 2 La 3.63
La: 0.4634 0.9050 0.8678  4 Sm 3.43-3.75, 1 Er 3.56, 2 La 3.63
La: 0.7639 0.4634 0.8678  4 Sm 3.43-3.75, 1 Er 3.56, 2 La 3.63
Sm: 0.4227 0.4227 0.7318  4 Sm 3.28-3.50, 3 La 3.53
Sm: 0.7585 0.7104 0.4174  3 La 3.43-3.75, 5 Sm 3.50-3.55, 1 Er 3.60
Sm: 0.1137 0.7585 0.4174  3 La 3.43-3.75, 5 Sm 3.50-3.55, 1 Er 3.60
Sm: 0.7104 0.1137 0.4174  3 La 3.43-3.75, 5 Sm 3.50-3.55, 1 Er 3.60
Sm: 0.2415 0.2896 0.5826  3 La 3.43-3.75, 5 Sm 3.50-3.55, 1 Er 3.60
Sm: 0.2896 0.8863 0.5826  3 La 3.43-3.75, 5 Sm 3.50-3.55, 1 Er 3.60
Sm: 0.5773 0.5773 0.2682  4 Sm 3.28-3.50, 3 La 3.53
Sm: 0.8863 0.2415 0.5826  3 La 3.43-3.75, 5 Sm 3.50-3.55, 1 Er 3.60
Er: 0.0000 0.0000 0.0000  6 La 3.56, 6 Sm 3.60

=====

[8]
The following is a DFT calculation (PBE) of a relaxed La2Sm3Er4 crystal.

Calculated values
- electronic total energy (eV for the cell shown) = -81.98

Cell: 9.2139 12.8252 12.8252 Å, 29.77 54.65 54.65°
With the nearest neighbours (Å) after each atom.
Atoms (fractional coordinates):
La: 0.0363 0.6000 0.7927  1 La 3.08, 3 Er 3.24-3.35, 1 Sm 3.37
La: 0.4637 0.2073 0.4000  1 La 3.08, 3 Er 3.24-3.35, 1 Sm 3.37
La: 0.5363 0.7927 0.6000  1 La 3.08, 3 Er 3.24-3.35, 1 Sm 3.37
La: 0.9637 0.4000 0.2073  1 La 3.08, 3 Er 3.24-3.35, 1 Sm 3.37
Er: 0.1105 0.5860 0.2065  2 La 3.24-3.35, 3 Er 3.32-3.51, 3 Sm 3.50-3.61
Er: 0.6833 0.7958 0.0963  1 La 3.32, 5 Er 3.32-3.55, 3 Sm 3.51-3.63
Er: 0.3895 0.7935 0.4140  2 La 3.24-3.35, 3 Er 3.32-3.51, 3 Sm 3.50-3.61
Er: 0.6105 0.2065 0.5860  2 La 3.24-3.35, 3 Er 3.32-3.51, 3 Sm 3.50-3.61
Er: 0.8895 0.4140 0.7935  2 La 3.24-3.35, 3 Er 3.32-3.51, 3 Sm 3.50-3.61
Er: 0.1833 0.0963 0.7958  1 La 3.32, 5 Er 3.32-3.55, 3 Sm 3.51-3.63
Er: 0.8167 0.9037 0.2042  1 La 3.32, 5 Er 3.32-3.55, 3 Sm 3.51-3.63
Er: 0.3167 0.2042 0.9037  1 La 3.32, 5 Er 3.32-3.55, 3 Sm 3.51-3.63
Sm: 0.5707 0.6973 0.9480  4 La 3.37-3.73, 4 Er 3.51-3.78
Sm: 0.9293 0.0520 0.3027  4 La 3.37-3.73, 4 Er 3.51-3.78
Sm: 0.2500 0.6700 0.3300  10 Er 3.50-3.86, 2 Sm 3.78
Sm: 0.4293 0.3027 0.0520  4 La 3.37-3.73, 4 Er 3.51-3.78
Sm: 0.7500 0.3300 0.6700  10 Er 3.50-3.86, 2 Sm 3.78
Sm: 0.0707 0.9480 0.6973  4 La 3.37-3.73, 4 Er 3.51-3.78

=====

[9]
The following is a DFT calculation (PBE) of a relaxed La3Sm8Er3 crystal.

Calculated values
- electronic total energy (eV for the cell shown) = -64.88

Cell: 5.7719 9.8401 9.8401 Å, 102.49 72.95 72.95°
With the nearest neighbours (Å) after each atom.
Atoms (fractional coordinates):
Sm: 0.3388 0.8800 0.4429  6 Sm 3.36-3.61, 1 Er 3.67, 3 La 3.70-3.73
Sm: 0.8388 0.5596 0.7636  4 Sm 3.13-3.40
Sm: 0.1612 0.2364 0.4404  4 Sm 3.13-3.40
Sm: 0.1612 0.4404 0.2364  4 Sm 3.13-3.40
Sm: 0.8388 0.7636 0.5596  4 Sm 3.13-3.40
Sm: 0.6612 0.5571 0.1200  6 Sm 3.36-3.61, 1 Er 3.67, 3 La 3.70-3.73
Sm: 0.3388 0.4429 0.8800  6 Sm 3.36-3.61, 1 Er 3.67, 3 La 3.70-3.73
Sm: 0.6612 0.1200 0.5571  6 Sm 3.36-3.61, 1 Er 3.67, 3 La 3.70-3.73
Er: 0.2017 0.7981 0.7981  1 Er 3.24, 4 La 3.56-3.63, 4 Sm 3.60-3.61
Er: 0.7983 0.2019 0.2019  1 Er 3.24, 4 La 3.56-3.63, 4 Sm 3.60-3.61
Er: 0.5000 0.5000 0.5000  2 Er 3.24
La: 0.0000 0.8177 0.1823  2 Er 3.56, 8 Sm 3.70-3.75
La: 0.5000 0.0000 0.0000  4 Er 3.63, 4 Sm 4.00, 4 La 4.02
La: 0.0000 0.1823 0.8177  2 Er 3.56, 8 Sm 3.70-3.75

=====

[10]
The following is a DFT calculation (PBE) of a relaxed LaSm7Er12 crystal.

Calculated values
- electronic total energy (eV for the cell shown) = -79.57

Cell: 9.7424 9.7424 9.7425 Å, 109.47 109.47 109.47°
With the nearest neighbours (Å) after each atom.
Atoms (fractional coordinates):
Er: 0.7459 0.2535 0.9995  2 Sm 2.81
Er: 0.2535 0.9995 0.7459  2 Sm 2.81
Er: 0.2535 0.5076 0.2541  2 Sm 2.81
Er: 0.9995 0.7459 0.2535  2 Sm 2.81
Er: 0.0005 0.2541 0.7465  2 Sm 2.81
Er: 0.4924 0.7459 0.7465  2 Sm 2.81
Er: 0.7465 0.0005 0.2541  2 Sm 2.81
Er: 0.7465 0.4924 0.7459  2 Sm 2.81
Er: 0.7459 0.7465 0.4924  2 Sm 2.81
Er: 0.5076 0.2541 0.2535  2 Sm 2.81
Er: 0.2541 0.2535 0.5076  2 Sm 2.81
Er: 0.2541 0.7465 0.0005  2 Sm 2.81
Sm: 0.0000 0.5000 0.5000  12 Er 3.92-3.98
Sm: 0.0000 0.5000 0.0000  6 Er 2.81
Sm: 0.5000 0.5000 0.0000  12 Er 3.92-3.98
Sm: 0.5000 0.0000 0.0000  6 Er 2.81
Sm: 0.5000 0.0000 0.5000  12 Er 3.92-3.98
Sm: 0.0000 0.0000 0.5000  6 Er 2.81
Sm: 0.5000 0.5000 0.5000  6 Er 2.81
La: 0.0000 0.0000 0.0000  12 Er 4.04